A relaxed structure of ZrTlAs2, computed with GGA-PBE.

a b c (Å): 7.923 7.923 7.923
angles (deg): 28.46 28.46 28.46
Positions (direct):
Zr (0.000, 0.000, 0.000)
Tl (0.500, 0.500, 0.500)
As (0.264, 0.264, 0.264)
As (0.736, 0.736, 0.736)

Output
density of states at the Fermi level	2.28	states/eV/cell
DFT formation energy	-460	meV/atom
density	7.4	g cm⁻³
VASP energy	-5.51	eV per atom
relative energy among the computed polymorphs	0.018	eV per atom

***

A relaxed structure of Zr2Tl2As, computed with GGA-PBE.

a b c (Å): 7.082 7.082 4.762
angles (deg): 90.00 90.00 90.00
Positions (direct):
Zr (0.162, 0.338, 0.000)
Zr (0.338, 0.838, 0.000)
Zr (0.662, 0.162, 0.000)
Zr (0.838, 0.662, 0.000)
Tl (0.156, 0.656, 0.500)
Tl (0.344, 0.156, 0.500)
Tl (0.656, 0.844, 0.500)
Tl (0.844, 0.344, 0.500)
As (0.000, 0.000, 0.000)
As (0.500, 0.500, 0.000)

Output
density of states at the Fermi level	3.32	states/eV/cell
DFT formation energy	-369	meV/atom
density	9.3	g cm⁻³
VASP energy	-5.66	eV per atom

***

density of states at the Fermi level of number 2 (Zr2Tl2As)?
3.32 states/eV/cell